## A
A geometry-optimized PmY3Sc structure, computed with GGA-PBE.

a = 19.6867 Å, b = 9.7761 Å, c = 6.5421 Å
α = 90.00°, β = 94.21°, γ = 90.00°
Space group C2/c (No. 15)
Unique sites:
Pm: 0.0000 0.1049 0.2500 (multiplicity 4)
Pm: 0.0000 0.2462 0.7500 (multiplicity 4)
Y: 0.0759 0.4440 0.4014 (multiplicity 8)
Y: 0.1497 0.1015 0.5970 (multiplicity 8)
Y: 0.1649 0.2548 0.0841 (multiplicity 8)
Sc: 0.2168 0.4317 0.6784 (multiplicity 8)

***

## B
A geometry-optimized PmY3Sc structure, computed with GGA-PBE.

a = 6.2293 Å, b = 5.6055 Å, c = 9.5145 Å
α = 90.00°, β = 109.06°, γ = 90.00°
Space group P2_1/m (No. 11)
Unique sites:
Pm: 0.1339 0.2500 0.1056 (multiplicity 2)
Y: 0.0590 0.7500 0.3044 (multiplicity 2)
Y: 0.3312 0.2500 0.5016 (multiplicity 2)
Y: 0.4674 0.7500 0.1028 (multiplicity 2)
Sc: 0.2671 0.7500 0.6980 (multiplicity 2)

***

So which one wins? Going from most stable to least: B, A.

***

## A
A geometry-optimized Pm2Y8Sc3 structure, computed with GGA-PBE.

a = 13.2706 Å, b = 11.2509 Å, c = 6.0012 Å
α = 90.00°, β = 115.10°, γ = 90.00°
Space group C2/m (No. 12)
Unique sites:
Pm: 0.1790 0.0000 0.3460 (multiplicity 4)
Y: 0.0886 0.0000 0.7816 (multiplicity 4)
Y: 0.1356 0.5000 0.1130 (multiplicity 4)
Y: 0.1567 0.2686 0.6530 (multiplicity 8)
Sc: 0.0000 0.2356 0.0000 (multiplicity 4)
Sc: 0.0000 0.5000 0.5000 (multiplicity 2)

***

## B
A geometry-optimized Pm2Y8Sc3 structure, computed with GGA-PBE.

a = 14.7287 Å, b = 8.7377 Å, c = 6.6101 Å
α = 90.00°, β = 98.04°, γ = 90.00°
Space group C2/m (No. 12)
Unique sites:
Pm: 0.2029 0.0000 0.2792 (multiplicity 4)
Y: 0.0882 0.5000 0.8867 (multiplicity 4)
Y: 0.1093 0.3165 0.4238 (multiplicity 8)
Y: 0.1904 0.0000 0.7882 (multiplicity 4)
Sc: 0.0000 0.0000 0.5000 (multiplicity 2)
Sc: 0.0000 0.1633 0.0000 (multiplicity 4)

***

So which one wins? Going from most stable to least: A, B.

***

## A
A geometry-optimized Pm4Y5Sc structure, computed with GGA-PBE.

a = 10.6889 Å, b = 10.6889 Å, c = 5.8679 Å
α = 90.00°, β = 90.00°, γ = 90.00°
Space group I4mm (No. 107)
Unique sites:
Pm: 0.0000 0.3238 0.0000 (multiplicity 8)
Y: 0.0000 0.0000 0.2277 (multiplicity 2)
Y: 0.1866 0.1866 0.5201 (multiplicity 8)
Sc: 0.0000 0.0000 0.7568 (multiplicity 2)

***

## B
A geometry-optimized Pm4Y5Sc structure, computed with GGA-PBE.

a = 19.4502 Å, b = 3.6091 Å, c = 9.5235 Å
α = 90.00°, β = 99.95°, γ = 90.00°
Space group C2/m (No. 12)
Unique sites:
Pm: 0.0650 0.0000 0.2794 (multiplicity 4)
Pm: 0.1786 0.5000 0.5054 (multiplicity 4)
Y: 0.0000 0.5000 0.0000 (multiplicity 2)
Y: 0.1142 0.0000 0.7842 (multiplicity 4)
Y: 0.2150 0.0000 0.1423 (multiplicity 4)
Sc: 0.0000 0.5000 0.5000 (multiplicity 2)

***

So which one wins? Going from most stable to least: B, A.